# 1
# ReTc4Ni PBE relaxed
data_ReTc4Ni
_symmetry_space_group_name_H-M 'P 1'
_symmetry_Int_Tables_number 1
_cell_length_a 5.028
_cell_length_b 5.028
_cell_length_c 5.028
_cell_angle_alpha 60.00
_cell_angle_beta 60.00
_cell_angle_gamma 60.00
loop_
_symmetry_equiv_pos_as_xyz
'x,y,z'
loop_
_atom_site_label
_atom_site_type_symbol
_atom_site_fract_x
_atom_site_fract_y
_atom_site_fract_z
_atom_site_occupancy
Ni1 Ni 0.750 0.750 0.750 1
Tc1 Tc 0.872 0.376 0.376 1
Tc2 Tc 0.376 0.376 0.872 1
Tc3 Tc 0.376 0.872 0.376 1
Re1 Re 0.000 0.000 0.000 1
Tc4 Tc 0.376 0.376 0.376 1
# Crystal system ... cubic
# Space-group type ... F-43m
# Total DFT energy (no corrections) ... -9.54 eV per atom
# Magnetic moment ... 0.0000 μB per atom
# ΔE_f ... 0.408 eV/atom

***

# 2
# ReTcNi2 PBE relaxed
data_ReTcNi2
_symmetry_space_group_name_H-M 'P 1'
_symmetry_Int_Tables_number 1
_cell_length_a 8.638
_cell_length_b 8.638
_cell_length_c 8.638
_cell_angle_alpha 17.75
_cell_angle_beta 17.75
_cell_angle_gamma 17.75
loop_
_symmetry_equiv_pos_as_xyz
'x,y,z'
loop_
_atom_site_label
_atom_site_type_symbol
_atom_site_fract_x
_atom_site_fract_y
_atom_site_fract_z
_atom_site_occupancy
Ni1 Ni 0.500 0.500 0.500 1
Ni2 Ni 0.000 0.000 0.000 1
Tc1 Tc 0.750 0.750 0.750 1
Re1 Re 0.250 0.250 0.250 1
# Crystal system ... trigonal
# Space-group type ... R-3m
# Total DFT energy (no corrections) ... -8.44 eV per atom
# Energy above the lowest structure with this stoichiometry ... 185.1 meV/atom
# Magnetic moment ... 0.0000 μB per atom
# ΔE_f ... 0.152 eV/atom